DFT (GGA-PBE) results for an optimized crystal structure of NaDyCdSe3.

## Properties
- energy above the most stable polymorph in this dataset (eV per atom) = 0.060

a = 8.064 Å, b = 4.241 Å, c = 17.403 Å
α = 90.00°, β = 90.00°, γ = 90.00°
Positions (direct):
Na  0.063  0.250  0.195
Na  0.437  0.750  0.695
Na  0.563  0.250  0.305
Na  0.937  0.750  0.805
Dy  0.230  0.250  0.962
Dy  0.270  0.750  0.462
Dy  0.730  0.250  0.538
Dy  0.770  0.750  0.038
Cd  0.070  0.250  0.663
Cd  0.430  0.750  0.163
Cd  0.570  0.250  0.837
Cd  0.930  0.750  0.337
Se  0.011  0.250  0.425
Se  0.125  0.750  0.064
Se  0.227  0.250  0.794
Se  0.273  0.750  0.294
Se  0.375  0.250  0.564
Se  0.489  0.750  0.925
Se  0.511  0.250  0.075
Se  0.625  0.750  0.436
Se  0.727  0.250  0.706
Se  0.773  0.750  0.206
Se  0.875  0.250  0.936
Se  0.989  0.750  0.575


DFT (GGA-PBE) results for an optimized crystal structure of NaDyCdTe3.

## Properties
- energy above the most stable polymorph in this dataset (eV per atom) = 0.000

a = 14.769 Å, b = 4.403 Å, c = 11.932 Å
α = 90.00°, β = 90.00°, γ = 90.00°
Positions (direct):
Na  0.232  0.250  0.063
Na  0.268  0.750  0.563
Na  0.732  0.250  0.437
Na  0.768  0.750  0.937
Dy  0.018  0.250  0.345
Dy  0.482  0.750  0.845
Dy  0.518  0.250  0.155
Dy  0.982  0.750  0.655
Cd  0.014  0.750  0.098
Cd  0.486  0.250  0.598
Cd  0.514  0.750  0.402
Cd  0.986  0.250  0.902
Te  0.111  0.250  0.572
Te  0.111  0.750  0.878
Te  0.150  0.750  0.260
Te  0.350  0.250  0.760
Te  0.389  0.250  0.378
Te  0.389  0.750  0.072
Te  0.611  0.250  0.928
Te  0.611  0.750  0.622
Te  0.650  0.750  0.240
Te  0.850  0.250  0.740
Te  0.889  0.250  0.122
Te  0.889  0.750  0.428


DFT (GGA-PBE) results for an optimized crystal structure of NaDyCdTe3.

## Properties
- energy above the most stable polymorph in this dataset (eV per atom) = 0.002

a = 11.693 Å, b = 4.396 Å, c = 14.765 Å
α = 90.00°, β = 90.00°, γ = 90.00°
Positions (direct):
Na  0.237  0.250  0.021
Na  0.263  0.750  0.521
Na  0.737  0.250  0.479
Na  0.763  0.750  0.979
Dy  0.008  0.750  0.748
Dy  0.492  0.250  0.248
Dy  0.508  0.750  0.752
Dy  0.992  0.250  0.252
Cd  0.243  0.750  0.223
Cd  0.257  0.250  0.723
Cd  0.743  0.750  0.277
Cd  0.757  0.250  0.777
Te  0.049  0.750  0.111
Te  0.066  0.250  0.607
Te  0.242  0.250  0.345
Te  0.258  0.750  0.845
Te  0.434  0.750  0.107
Te  0.451  0.250  0.611
Te  0.549  0.750  0.389
Te  0.566  0.250  0.893
Te  0.742  0.250  0.155
Te  0.758  0.750  0.655
Te  0.934  0.750  0.393
Te  0.951  0.250  0.889


Number 1: final energy -4.0743 eV/atom. Number 2: final energy -3.6672 eV/atom. Number 3: final energy -3.6656 eV/atom.